No. 1
Crystalline ScCdIn2 at its relaxed geometry. Source: Alexandria, functional GGA-PBE.

Summary:
Total energy, eV per atom: -3.3429

The structure in CIF format:
```
data_ScCdIn2
_symmetry_space_group_name_H-M 'P 1 m 1'
_symmetry_Int_Tables_number 6
_cell_length_a 3.1989
_cell_length_b 4.9004
_cell_length_c 6.0673
_cell_angle_alpha 90.00
_cell_angle_beta 90.56
_cell_angle_gamma 90.00
loop_
_symmetry_equiv_pos_as_xyz
'x,y,z'
'x,-y,z'
loop_
_atom_site_label
_atom_site_type_symbol
_atom_site_fract_x
_atom_site_fract_y
_atom_site_fract_z
_atom_site_occupancy
Sc1 Sc 0.0000 0.0000 0.0000 1
Cd1 Cd 0.5074 0.5000 0.2436 1
In1 In 0.4886 0.0000 0.4948 1
In2 In 0.4993 0.5000 0.7771 1
```

No. 2
Crystalline ScCdIn at its relaxed geometry. Source: Alexandria, functional GGA-PBE.

Summary:
Total energy, eV per atom: -3.6021

The structure in CIF format:
```
data_ScCdIn
_symmetry_space_group_name_H-M 'I m m a'
_symmetry_Int_Tables_number 74
_symmetry_space_group_name_Hall '-I 2b 2'
_cell_length_a 4.9118
_cell_length_b 6.5621
_cell_length_c 8.4093
_cell_angle_alpha 90.00
_cell_angle_beta 90.00
_cell_angle_gamma 90.00
loop_
_atom_site_label
_atom_site_type_symbol
_atom_site_fract_x
_atom_site_fract_y
_atom_site_fract_z
_atom_site_occupancy
Sc1 Sc 0.0000 0.0000 0.0000 1
Cd1 Cd 0.0000 0.2500 0.3276 1
In1 In 0.0000 0.2500 0.6622 1
```

No. 3
Crystalline Sc2CdIn3 at its relaxed geometry. Source: Alexandria, functional GGA-PBE.

Summary:
Total energy, eV per atom: -3.9743

The structure in CIF format:
```
data_Sc2CdIn3
_symmetry_space_group_name_H-M 'C m m m'
_symmetry_Int_Tables_number 65
_symmetry_space_group_name_Hall '-C 2 2'
_cell_length_a 4.3863
_cell_length_b 13.7691
_cell_length_c 4.4931
_cell_angle_alpha 90.00
_cell_angle_beta 90.00
_cell_angle_gamma 90.00
loop_
_atom_site_label
_atom_site_type_symbol
_atom_site_fract_x
_atom_site_fract_y
_atom_site_fract_z
_atom_site_occupancy
Sc1 Sc 0.0000 0.1593 0.0000 1
Cd1 Cd 0.0000 0.0000 0.5000 1
In1 In 0.0000 0.3274 0.5000 1
In2 In 0.0000 0.5000 0.0000 1
```

No. 4
Crystalline Sc2Cd3In3 at its relaxed geometry. Source: Alexandria, functional GGA-PBE.

Summary:
Total energy, eV per atom: -3.2437

The structure in CIF format:
```
data_Sc2Cd3In3
_symmetry_space_group_name_H-M 'P m m m'
_symmetry_Int_Tables_number 47
_cell_length_a 4.3963
_cell_length_b 4.4564
_cell_length_c 9.0708
_cell_angle_alpha 90.00
_cell_angle_beta 90.00
_cell_angle_gamma 90.00
loop_
_symmetry_equiv_pos_as_xyz
'x,y,z'
'-x,-y,-z'
'-x,-y,z'
'x,y,-z'
'x,-y,-z'
'-x,y,z'
'-x,y,-z'
'x,-y,z'
loop_
_atom_site_label
_atom_site_type_symbol
_atom_site_fract_x
_atom_site_fract_y
_atom_site_fract_z
_atom_site_occupancy
Sc1 Sc 0.0000 0.0000 0.2464 1
Cd1 Cd 0.0000 0.5000 0.0000 1
Cd2 Cd 0.0000 0.5000 0.5000 1
Cd3 Cd 0.5000 0.0000 0.5000 1
In1 In 0.5000 0.0000 0.0000 1
In2 In 0.5000 0.5000 0.2550 1
```

No. 5
Crystalline ScCdIn2 at its relaxed geometry. Source: Alexandria, functional GGA-PBE.

Summary:
Total energy, eV per atom: -3.1899

The structure in CIF format:
```
data_ScCdIn2
_symmetry_space_group_name_H-M 'R 3 m'
_symmetry_Int_Tables_number 160
_symmetry_space_group_name_Hall 'R 3 -2"'
_cell_length_a 4.7102
_cell_length_b 4.7102
_cell_length_c 16.4147
_cell_angle_alpha 90.00
_cell_angle_beta 90.00
_cell_angle_gamma 120.00
loop_
_atom_site_label
_atom_site_type_symbol
_atom_site_fract_x
_atom_site_fract_y
_atom_site_fract_z
_atom_site_occupancy
Sc1 Sc 0.0000 0.0000 0.0000 1
Cd1 Cd 0.0000 0.0000 0.8060 1
In1 In 0.0000 0.0000 0.3924 1
In2 In 0.0000 0.0000 0.5765 1
```

No. 6
Crystalline ScCdIn at its relaxed geometry. Source: Alexandria, functional GGA-PBE.

Summary:
Total energy, eV per atom: -3.5800

The structure in CIF format:
```
data_ScCdIn
_symmetry_space_group_name_H-M 'P 1 m 1'
_symmetry_Int_Tables_number 6
_cell_length_a 3.1698
_cell_length_b 4.5172
_cell_length_c 9.6129
_cell_angle_alpha 90.00
_cell_angle_beta 99.39
_cell_angle_gamma 90.00
loop_
_symmetry_equiv_pos_as_xyz
'x,y,z'
'x,-y,z'
loop_
_atom_site_label
_atom_site_type_symbol
_atom_site_fract_x
_atom_site_fract_y
_atom_site_fract_z
_atom_site_occupancy
Sc1 Sc 0.0000 0.0000 0.0000 1
Sc2 Sc 0.1732 0.0000 0.3419 1
Cd1 Cd 0.4170 0.5000 0.8282 1
Cd2 Cd 0.8484 0.0000 0.6774 1
In1 In 0.5798 0.5000 0.1613 1
In2 In 0.7451 0.5000 0.4857 1
```

No. 7
Crystalline ScCdIn2 at its relaxed geometry. Source: Alexandria, functional GGA-PBE.

Summary:
Total energy, eV per atom: -3.4084

The structure in CIF format:
```
data_ScCdIn2
_symmetry_space_group_name_H-M 'I -4 m 2'
_symmetry_Int_Tables_number 119
_symmetry_space_group_name_Hall 'I -4 -2'
_cell_length_a 4.3788
_cell_length_b 4.3788
_cell_length_c 9.6100
_cell_angle_alpha 90.00
_cell_angle_beta 90.00
_cell_angle_gamma 90.00
loop_
_atom_site_label
_atom_site_type_symbol
_atom_site_fract_x
_atom_site_fract_y
_atom_site_fract_z
_atom_site_occupancy
Sc1 Sc 0.0000 0.0000 0.0000 1
Cd1 Cd 0.0000 0.5000 0.7500 1
In1 In 0.0000 0.0000 0.5000 1
In2 In 0.0000 0.5000 0.2500 1
```

No. 8
Crystalline ScCdIn3 at its relaxed geometry. Source: Alexandria, functional GGA-PBE.

Summary:
Energy relative to the lowest polymorph listed for this composition, meV/atom: 636

The structure in CIF format:
```
data_ScCdIn3
_symmetry_space_group_name_H-M 'P m -3 m'
_symmetry_Int_Tables_number 221
_symmetry_space_group_name_Hall '-P 4 2 3'
_cell_length_a 5.3936
_cell_length_b 5.3936
_cell_length_c 5.3936
_cell_angle_alpha 90.00
_cell_angle_beta 90.00
_cell_angle_gamma 90.00
loop_
_atom_site_label
_atom_site_type_symbol
_atom_site_fract_x
_atom_site_fract_y
_atom_site_fract_z
_atom_site_occupancy
Sc1 Sc 0.0000 0.0000 0.0000 1
Cd1 Cd 0.5000 0.5000 0.5000 1
In1 In 0.0000 0.5000 0.5000 1
```

No. 9
Crystalline Sc2Cd3In3 at its relaxed geometry. Source: Alexandria, functional GGA-PBE.

Summary:
Total energy, eV per atom: -3.2424

The structure in CIF format:
```
data_Sc2Cd3In3
_symmetry_space_group_name_H-M 'P m m m'
_symmetry_Int_Tables_number 47
_cell_length_a 4.4514
_cell_length_b 4.5395
_cell_length_c 8.7926
_cell_angle_alpha 90.00
_cell_angle_beta 90.00
_cell_angle_gamma 90.00
loop_
_symmetry_equiv_pos_as_xyz
'x,y,z'
'-x,-y,-z'
'-x,-y,z'
'x,y,-z'
'x,-y,-z'
'-x,y,z'
'-x,y,-z'
'x,-y,z'
loop_
_atom_site_label
_atom_site_type_symbol
_atom_site_fract_x
_atom_site_fract_y
_atom_site_fract_z
_atom_site_occupancy
Sc1 Sc 0.0000 0.0000 0.2477 1
Cd1 Cd 0.0000 0.5000 0.5000 1
Cd2 Cd 0.5000 0.5000 0.2549 1
In1 In 0.0000 0.5000 0.0000 1
In2 In 0.5000 0.0000 0.0000 1
In3 In 0.5000 0.0000 0.5000 1
```

No. 10
Crystalline ScCdIn2 at its relaxed geometry. Source: Alexandria, functional GGA-PBE.

Summary:
Total energy, eV per atom: -3.3619

The structure in CIF format:
```
data_ScCdIn2
_symmetry_space_group_name_H-M 'P 1 2/m 1'
_symmetry_Int_Tables_number 10
_cell_length_a 3.2058
_cell_length_b 4.7522
_cell_length_c 6.2264
_cell_angle_alpha 90.00
_cell_angle_beta 90.20
_cell_angle_gamma 90.00
loop_
_symmetry_equiv_pos_as_xyz
'x,y,z'
'-x,-y,-z'
'-x,y,-z'
'x,-y,z'
loop_
_atom_site_label
_atom_site_type_symbol
_atom_site_fract_x
_atom_site_fract_y
_atom_site_fract_z
_atom_site_occupancy
Sc1 Sc 0.0000 0.0000 0.0000 1
Cd1 Cd 0.5000 0.0000 0.5000 1
In1 In 0.4971 0.5000 0.7653 1
```

No. 11
Crystalline ScCdIn2 at its relaxed geometry. Source: Alexandria, functional GGA-PBE.

Summary:
Total energy, eV per atom: -3.4882

The structure in CIF format:
```
data_ScCdIn2
_symmetry_space_group_name_H-M 'P 4/m m m'
_symmetry_Int_Tables_number 123
_symmetry_space_group_name_Hall '-P 4 2'
_cell_length_a 4.5051
_cell_length_b 4.5051
_cell_length_c 4.4099
_cell_angle_alpha 90.00
_cell_angle_beta 90.00
_cell_angle_gamma 90.00
loop_
_atom_site_label
_atom_site_type_symbol
_atom_site_fract_x
_atom_site_fract_y
_atom_site_fract_z
_atom_site_occupancy
Sc1 Sc 0.0000 0.0000 0.0000 1
Cd1 Cd 0.5000 0.5000 0.0000 1
In1 In 0.0000 0.5000 0.5000 1
```

No. 12
Crystalline ScCdIn2 at its relaxed geometry. Source: Alexandria, functional GGA-PBE.

Summary:
Total energy, eV per atom: -3.3221

The structure in CIF format:
```
data_ScCdIn2
_symmetry_space_group_name_H-M 'C 1 2/m 1'
_symmetry_Int_Tables_number 12
_cell_length_a 10.2507
_cell_length_b 3.4850
_cell_length_c 5.4749
_cell_angle_alpha 90.00
_cell_angle_beta 102.81
_cell_angle_gamma 90.00
loop_
_symmetry_equiv_pos_as_xyz
'x,y,z'
'-x,-y,-z'
'-x,y,-z'
'x,-y,z'
'x+1/2,y+1/2,z'
'-x+1/2,-y+1/2,-z'
'-x+1/2,y+1/2,-z'
'x+1/2,-y+1/2,z'
loop_
_atom_site_label
_atom_site_type_symbol
_atom_site_fract_x
_atom_site_fract_y
_atom_site_fract_z
_atom_site_occupancy
Sc1 Sc 0.0000 0.0000 0.0000 1
Cd1 Cd 0.0000 0.5000 0.5000 1
In1 In 0.2487 0.0000 0.7527 1
```

No. 13
Crystalline ScCdIn2 at its relaxed geometry. Source: Alexandria, functional GGA-PBE.

Summary:
Total energy, eV per atom: -3.1983

The structure in CIF format:
```
data_ScCdIn2
_symmetry_space_group_name_H-M 'I -4 2 d'
_symmetry_Int_Tables_number 122
_symmetry_space_group_name_Hall 'I -4 2bw'
_cell_length_a 8.0431
_cell_length_b 8.0431
_cell_length_c 6.2275
_cell_angle_alpha 90.00
_cell_angle_beta 90.00
_cell_angle_gamma 90.00
loop_
_atom_site_label
_atom_site_type_symbol
_atom_site_fract_x
_atom_site_fract_y
_atom_site_fract_z
_atom_site_occupancy
Sc1 Sc 0.0000 0.0000 0.0000 1
Cd1 Cd 0.0000 0.0000 0.5000 1
In1 In 0.2344 0.2500 0.6250 1
```

No. 14
Crystalline ScCdIn at its relaxed geometry. Source: Alexandria, functional GGA-PBE.

Summary:
Total energy, eV per atom: -3.5896

The structure in CIF format:
```
data_ScCdIn
_symmetry_space_group_name_H-M 'P -1'
_symmetry_Int_Tables_number 2
_cell_length_a 4.5075
_cell_length_b 5.5541
_cell_length_c 6.2152
_cell_angle_alpha 105.96
_cell_angle_beta 90.06
_cell_angle_gamma 113.83
loop_
_symmetry_equiv_pos_as_xyz
'x,y,z'
'-x,-y,-z'
loop_
_atom_site_label
_atom_site_type_symbol
_atom_site_fract_x
_atom_site_fract_y
_atom_site_fract_z
_atom_site_occupancy
Sc1 Sc 0.1598 0.3198 0.3203 1
Cd1 Cd 0.5000 0.0000 0.0000 1
Cd2 Cd 0.5000 0.0000 0.5000 1
In1 In 0.1675 0.3334 0.8170 1
```